# 1
Pr5MgTl6 | PBE | relaxed

Properties
The calculation puts the total energy at -3.647 eV/atom. For the mass density, the calculation gives 9.12 g/cm³. As for the total magnetic moment: 0.00 μB/f.u.

a = 5.4075 Å, b = 9.6113 Å, c = 9.5853 Å
α = 59.91°, β = 73.58°, γ = 55.67°
Positions (direct):
1 Tl 0.2481 0.2519 0.0000
2 Tl 0.2487 0.5873 0.3271
3 Tl 0.2487 0.9144 0.6729
4 Tl 0.7513 0.0856 0.3271
5 Tl 0.7513 0.4127 0.6729
6 Tl 0.7519 0.7481 0.0000
7 Pr 0.0000 0.3282 0.3437
8 Pr 0.5000 0.5000 0.0000
9 Pr 0.5000 0.8449 0.3103
10 Pr 0.5000 0.1551 0.6897
11 Pr 0.0000 0.6718 0.6563
12 Mg 0.0000 0.0000 0.0000

***

# 2
Pr6Mg2Tl | PBE | relaxed

Properties
The calculation puts the total energy at -3.840 eV/atom. For the mass density, the calculation gives 6.11 g/cm³. As for the total magnetic moment: 0.00 μB/f.u.

a = 9.1918 Å, b = 9.1918 Å, c = 9.1918 Å
α = 111.56°, β = 109.83°, γ = 107.06°
Positions (direct):
1 Tl 0.0000 0.0000 0.0000
2 Tl 0.0000 0.5000 0.5000
3 Pr 0.2616 0.5834 0.3218
4 Pr 0.9186 0.7370 0.1816
5 Pr 0.0814 0.2630 0.8184
6 Pr 0.1980 0.7442 0.9422
7 Pr 0.4445 0.2630 0.1816
8 Pr 0.7384 0.0601 0.3218
9 Pr 0.2616 0.9399 0.6782
10 Pr 0.8020 0.7442 0.5462
11 Pr 0.8020 0.2558 0.0578
12 Pr 0.5555 0.7370 0.8184
13 Pr 0.1980 0.2558 0.4538
14 Pr 0.7384 0.4166 0.6782
15 Mg 0.5000 0.3624 0.8624
16 Mg 0.6331 0.0000 0.6331
17 Mg 0.5000 0.6376 0.1376
18 Mg 0.3669 0.0000 0.3669

***

# 3
PrMg3Tl3 | PBE | relaxed

Properties
For the mass density, the calculation gives 5.88 g/cm³. As for the total magnetic moment: 0.00 μB/f.u. The energy above the most stable polymorph in this dataset is 0.0 meV per atom.

a = 7.7587 Å, b = 7.7587 Å, c = 7.7587 Å
α = 90.00°, β = 90.00°, γ = 90.00°
Positions (direct):
1 Mg 0.0000 0.7500 0.5000
2 Mg 0.5000 0.0000 0.7500
3 Mg 0.2500 0.5000 0.0000
4 Mg 0.7500 0.5000 0.0000
5 Mg 0.5000 0.0000 0.2500
6 Mg 0.0000 0.2500 0.5000
7 Pr 0.5000 0.5000 0.5000
8 Pr 0.0000 0.0000 0.0000
9 Tl 0.5000 0.2500 0.0000
10 Tl 0.7500 0.0000 0.5000
11 Tl 0.0000 0.5000 0.7500
12 Tl 0.5000 0.7500 0.0000
13 Tl 0.2500 0.0000 0.5000
14 Tl 0.0000 0.5000 0.2500

***

# 4
Pr2Mg3Tl4 | PBE | relaxed

Properties
The calculation puts the total energy at -2.875 eV/atom. For the mass density, the calculation gives 8.07 g/cm³. As for the total magnetic moment: 0.00 μB/f.u.

a = 6.5809 Å, b = 8.6540 Å, c = 9.0894 Å
α = 90.00°, β = 111.22°, γ = 90.00°
Positions (direct):
1 Mg 0.5000 0.5000 0.0000
2 Mg 0.0000 0.0000 0.0000
3 Mg 0.9757 0.2500 0.4513
4 Mg 0.0243 0.7500 0.5487
5 Mg 0.4757 0.2500 0.4513
6 Mg 0.5243 0.7500 0.5487
7 Tl 0.6972 0.7500 0.8944
8 Tl 0.8225 0.0313 0.6450
9 Tl 0.8028 0.2500 0.1056
10 Tl 0.3225 0.4687 0.6450
11 Tl 0.1972 0.7500 0.8944
12 Tl 0.1775 0.9687 0.3550
13 Tl 0.3028 0.2500 0.1056
14 Tl 0.6775 0.5313 0.3550
15 Pr 0.1072 0.5900 0.2143
16 Pr 0.3928 0.0900 0.7857
17 Pr 0.8928 0.4100 0.7857
18 Pr 0.6072 0.9100 0.2143

***

# 5
PrMgTl | PBE | relaxed

Properties
The calculation puts the total energy at -3.111 eV/atom. For the mass density, the calculation gives 7.32 g/cm³. As for the total magnetic moment: 0.00 μB/f.u.

a = 3.6675 Å, b = 3.6675 Å, c = 6.7487 Å
α = 105.77°, β = 105.77°, γ = 90.00°
Positions (direct):
1 Tl 0.9346 0.9346 0.8693
2 Pr 0.6141 0.6141 0.2282
3 Mg 0.3013 0.3013 0.6026

***

# 6
Pr9Mg2Tl | PBE | relaxed

Properties
The calculation puts the total energy at -4.123 eV/atom. For the mass density, the calculation gives 6.50 g/cm³. As for the total magnetic moment: 0.00 μB/f.u.

a = 5.0588 Å, b = 5.0588 Å, c = 15.1964 Å
α = 90.00°, β = 90.00°, γ = 90.00°
Positions (direct):
1 Pr 0.0000 0.5000 0.8346
2 Pr 0.0000 0.5000 0.1654
3 Pr 0.5000 0.5000 0.0000
4 Pr 0.5000 0.0000 0.5000
5 Pr 0.5000 0.0000 0.1654
6 Pr 0.5000 0.5000 0.3343
7 Pr 0.5000 0.5000 0.6657
8 Pr 0.0000 0.5000 0.5000
9 Pr 0.5000 0.0000 0.8346
10 Mg 0.0000 0.0000 0.6669
11 Mg 0.0000 0.0000 0.3331
12 Tl 0.0000 0.0000 0.0000

***

# 7
Pr7Mg4Tl | PBE | relaxed

Properties
The calculation puts the total energy at -3.481 eV/atom. For the mass density, the calculation gives 5.51 g/cm³. As for the total magnetic moment: 0.00 μB/f.u.

a = 5.9877 Å, b = 9.3781 Å, c = 8.2492 Å
α = 66.77°, β = 68.72°, γ = 71.38°
Positions (direct):
1 Mg 0.4661 0.6800 0.3879
2 Mg 0.5339 0.3200 0.6121
3 Mg 0.6766 0.6476 0.9992
4 Mg 0.3234 0.3524 0.0008
5 Pr 0.7558 0.2703 0.2181
6 Pr 0.5000 0.0000 0.0000
7 Pr 0.8182 0.8804 0.4832
8 Pr 0.0849 0.5689 0.2614
9 Pr 0.9151 0.4311 0.7386
10 Pr 0.1818 0.1196 0.5168
11 Pr 0.2442 0.7297 0.7819
12 Tl 0.0000 0.0000 0.0000

***

# 8
Pr3Mg7Tl4 | PBE | relaxed

Properties
The calculation puts the total energy at -2.742 eV/atom. For the mass density, the calculation gives 6.39 g/cm³. As for the total magnetic moment: 0.00 μB/f.u.

a = 4.7799 Å, b = 9.1222 Å, c = 9.3228 Å
α = 72.02°, β = 75.15°, γ = 74.81°
Positions (direct):
1 Mg 0.3306 0.8221 0.5167
2 Mg 0.4920 0.1988 0.8172
3 Mg 0.0000 0.0000 0.0000
4 Mg 0.5080 0.8012 0.1828
5 Mg 0.1568 0.6168 0.0695
6 Mg 0.8432 0.3832 0.9305
7 Mg 0.6694 0.1779 0.4833
8 Tl 0.6481 0.4616 0.2422
9 Tl 0.3519 0.5384 0.7578
10 Tl 0.8751 0.9072 0.3426
11 Tl 0.1249 0.0928 0.6574
12 Pr 0.3012 0.1926 0.2050
13 Pr 0.0000 0.5000 0.5000
14 Pr 0.6988 0.8074 0.7950

***

# 9
Pr2Mg3Tl2 | PBE | relaxed

Properties
The calculation puts the total energy at -2.963 eV/atom. For the mass density, the calculation gives 6.62 g/cm³. As for the total magnetic moment: 0.00 μB/f.u.

a = 4.8521 Å, b = 6.2137 Å, c = 7.3455 Å
α = 108.46°, β = 90.00°, γ = 112.98°
Positions (direct):
1 Tl 0.1511 0.3022 0.2334
2 Tl 0.8489 0.6978 0.7666
3 Pr 0.8519 0.7038 0.2290
4 Pr 0.1481 0.2962 0.7710
5 Mg 0.6058 0.2116 0.4315
6 Mg 0.3942 0.7884 0.5685
7 Mg 0.5000 0.0000 0.0000

***

# 10
Pr7MgTl3 | PBE | relaxed

Properties
The calculation puts the total energy at -3.914 eV/atom. For the mass density, the calculation gives 7.42 g/cm³. As for the total magnetic moment: 0.00 μB/f.u.

a = 6.0219 Å, b = 8.4064 Å, c = 8.4064 Å
α = 91.12°, β = 111.33°, γ = 111.33°
Positions (direct):
1 Pr 0.6737 0.4015 0.9477
2 Pr 0.8219 0.8253 0.8253
3 Pr 0.3263 0.0523 0.5985
4 Pr 0.6737 0.9477 0.4015
5 Pr 0.0000 0.5000 0.5000
6 Pr 0.3263 0.5985 0.0523
7 Pr 0.1781 0.1747 0.1747
8 Tl 0.0000 0.7645 0.2355
9 Tl 0.5000 0.0000 0.0000
10 Tl 0.0000 0.2355 0.7645
11 Mg 0.5000 0.5000 0.5000

***

# 11
PrMg4Tl7 | PBE | relaxed

Properties
The calculation puts the total energy at -2.307 eV/atom. For the mass density, the calculation gives 8.11 g/cm³. As for the total magnetic moment: 0.00 μB/f.u.

a = 6.0545 Å, b = 8.7111 Å, c = 7.8033 Å
α = 68.01°, β = 67.17°, γ = 69.66°
Positions (direct):
1 Mg 0.4749 0.6951 0.3551
2 Mg 0.5251 0.3049 0.6449
3 Mg 0.3053 0.3344 0.0550
4 Mg 0.6947 0.6656 0.9450
5 Tl 0.7915 0.8919 0.5251
6 Tl 0.0690 0.5938 0.2682
7 Tl 0.2085 0.1081 0.4749
8 Tl 0.5000 0.0000 0.0000
9 Tl 0.7245 0.3159 0.2352
10 Tl 0.2755 0.6841 0.7648
11 Tl 0.9310 0.4062 0.7318
12 Pr 0.0000 0.0000 0.0000

***

# 12
Pr8MgTl2 | PBE | relaxed

Properties
For the mass density, the calculation gives 7.04 g/cm³. As for the total magnetic moment: 0.00 μB/f.u. The energy above the most stable polymorph in this dataset is 22.8 meV per atom.

a = 5.4125 Å, b = 7.4019 Å, c = 9.7102 Å
α = 99.56°, β = 106.18°, γ = 90.00°
Positions (direct):
1 Pr 0.9683 0.2594 0.9366
2 Pr 0.5923 0.4485 0.1846
3 Pr 0.1799 0.2710 0.3598
4 Pr 0.4077 0.5515 0.8154
5 Pr 0.3361 0.0659 0.6722
6 Pr 0.0317 0.7406 0.0634
7 Pr 0.8201 0.7290 0.6402
8 Pr 0.6639 0.9341 0.3278
9 Tl 0.2078 0.7133 0.4155
10 Tl 0.7922 0.2867 0.5845
11 Mg 0.5000 0.0000 0.0000

***

# 13
PrMg2Tl3 | PBE | relaxed

Properties
The calculation puts the total energy at -2.687 eV/atom. For the mass density, the calculation gives 8.30 g/cm³. As for the total magnetic moment: 0.00 μB/f.u.

a = 5.2156 Å, b = 5.2156 Å, c = 13.6318 Å
α = 90.00°, β = 90.00°, γ = 120.00°
Positions (direct):
1 Tl 0.0000 0.0000 0.5000
2 Tl 0.3333 0.6667 0.3663
3 Tl 0.3333 0.6667 0.1337
4 Tl 0.6667 0.3333 0.8663
5 Tl 0.0000 0.0000 0.0000
6 Tl 0.6667 0.3333 0.6337
7 Pr 0.0000 0.0000 0.2500
8 Pr 0.0000 0.0000 0.7500
9 Mg 0.6667 0.3333 0.1070
10 Mg 0.3333 0.6667 0.8930
11 Mg 0.6667 0.3333 0.3930
12 Mg 0.3333 0.6667 0.6070

***

# 14
Pr6MgTl2 | PBE | relaxed

Properties
The calculation puts the total energy at -3.816 eV/atom. For the mass density, the calculation gives 6.42 g/cm³. As for the total magnetic moment: 0.01 μB/f.u.

a = 5.2992 Å, b = 7.8873 Å, c = 9.1330 Å
α = 115.58°, β = 104.56°, γ = 90.00°
Positions (direct):
1 Pr 0.5000 0.2506 0.0000
2 Pr 0.5000 0.7494 0.0000
3 Pr 0.1687 0.9153 0.3328
4 Pr 0.8313 0.5825 0.6672
5 Pr 0.8313 0.0847 0.6672
6 Pr 0.1687 0.4175 0.3328
7 Mg 0.0000 0.0000 0.0000
8 Tl 0.3322 0.3339 0.6678
9 Tl 0.6678 0.6661 0.3322

***

# 15
PrMg4Tl2 | PBE | relaxed

Properties
The calculation puts the total energy at -2.430 eV/atom. For the mass density, the calculation gives 6.02 g/cm³. As for the total magnetic moment: 0.00 μB/f.u.

a = 4.6725 Å, b = 8.7400 Å, c = 8.7400 Å
α = 90.00°, β = 90.00°, γ = 90.00°
Positions (direct):
1 Mg 0.0000 0.0968 0.3452
2 Mg 0.0000 0.6548 0.9032
3 Mg 0.0000 0.9032 0.6548
4 Mg 0.5000 0.8452 0.4032
5 Mg 0.5000 0.4032 0.8452
6 Mg 0.0000 0.3452 0.0968
7 Mg 0.5000 0.1548 0.5968
8 Mg 0.5000 0.5968 0.1548
9 Tl 0.0000 0.2045 0.7955
10 Tl 0.0000 0.7955 0.2045
11 Tl 0.5000 0.7045 0.7045
12 Tl 0.5000 0.2955 0.2955
13 Pr 0.5000 0.0000 0.0000
14 Pr 0.0000 0.5000 0.5000

***

# 16
Pr4MgTl | PBE | relaxed

Properties
For the mass density, the calculation gives 6.51 g/cm³. As for the total magnetic moment: 0.00 μB/f.u. The energy above the most stable polymorph in this dataset is 0.0 meV per atom.

a = 3.5488 Å, b = 9.7619 Å, c = 5.8339 Å
α = 89.96°, β = 90.00°, γ = 90.00°
Positions (direct):
1 Mg 0.5000 0.5000 0.5000
2 Pr 0.0000 0.8056 0.4998
3 Pr 0.5000 0.3003 0.0000
4 Pr 0.0000 0.1944 0.5002
5 Pr 0.5000 0.6997 0.0000
6 Tl 0.0000 0.0000 0.0000

***

# 17
Pr3Mg2Tl3 | PBE | relaxed

Properties
The calculation puts the total energy at -3.339 eV/atom. For the mass density, the calculation gives 7.99 g/cm³. As for the total magnetic moment: 0.50 μB/f.u.

a = 4.6200 Å, b = 5.0302 Å, c = 10.2787 Å
α = 104.16°, β = 102.99°, γ = 90.00°
Last column: magnetic moment on the atom in μB.
Positions (direct):
1 Tl 0.8582 0.8582 0.7165  0.00
2 Tl 0.1417 0.1417 0.2835  0.00
3 Tl 0.0000 0.5000 0.0000  -0.01
4 Pr 0.6303 0.6303 0.2605  0.07
5 Pr 0.5000 0.0000 0.0000  0.14
6 Pr 0.3697 0.3697 0.7395  0.07
7 Mg 0.2545 0.7545 0.5091  0.00
8 Mg 0.7455 0.2455 0.4909  0.00

***

# 18
Pr9MgTl2 | PBE | relaxed

Properties
The calculation puts the total energy at -4.254 eV/atom. For the mass density, the calculation gives 7.34 g/cm³. As for the total magnetic moment: 0.00 μB/f.u.

a = 5.0483 Å, b = 5.0483 Å, c = 15.1090 Å
α = 90.00°, β = 90.00°, γ = 90.00°
Positions (direct):
1 Pr 0.5000 0.0000 0.5000
2 Pr 0.5000 0.0000 0.1676
3 Pr 0.5000 0.5000 0.3323
4 Pr 0.0000 0.5000 0.1676
5 Pr 0.5000 0.5000 0.0000
6 Pr 0.0000 0.5000 0.8324
7 Pr 0.5000 0.0000 0.8324
8 Pr 0.0000 0.5000 0.5000
9 Pr 0.5000 0.5000 0.6677
10 Tl 0.0000 0.0000 0.6660
11 Tl 0.0000 0.0000 0.3340
12 Mg 0.0000 0.0000 0.0000

***

# 19
PrMgTl2 | PBE | relaxed

Properties
For the mass density, the calculation gives 8.85 g/cm³. As for the total magnetic moment: 0.00 μB/f.u. The energy above the most stable polymorph in this dataset is 71.4 meV per atom.

a = 3.6877 Å, b = 3.6877 Å, c = 7.9185 Å
α = 90.00°, β = 90.00°, γ = 90.00°
Positions (direct):
1 Tl 0.0000 0.0000 0.2235
2 Tl 0.0000 0.0000 0.7765
3 Pr 0.5000 0.5000 0.5000
4 Mg 0.5000 0.5000 0.0000

***

# 20
PrMg5Tl6 | PBE | relaxed

Properties
The calculation puts the total energy at -2.372 eV/atom. For the mass density, the calculation gives 8.01 g/cm³. As for the total magnetic moment: 0.00 μB/f.u.

a = 5.1564 Å, b = 7.4379 Å, c = 9.2351 Å
α = 113.75°, β = 106.21°, γ = 90.00°
Positions (direct):
1 Mg 0.3340 0.8340 0.6679
2 Mg 0.0000 0.5000 0.0000
3 Mg 0.6660 0.1660 0.3321
4 Mg 0.3277 0.3277 0.6554
5 Mg 0.6723 0.6723 0.3446
6 Tl 0.8291 0.0873 0.6582
7 Tl 0.1709 0.9127 0.3418
8 Tl 0.1709 0.4292 0.3418
9 Tl 0.5000 0.7263 0.0000
10 Tl 0.8291 0.5708 0.6582
11 Tl 0.5000 0.2737 0.0000
12 Pr 0.0000 0.0000 0.0000